# 1
Tm3Ag2Pb4, relaxed, DFT PBE-GGA; DOS(E_F) = 0.634 states/eV per atom; E = -3.937 eV per atom; symmetry = P3m1, No. 156; V = 26.150 A^3/atom; total magnetization = 0.001 Bohr magnetons per cell
1.0
-4.4660 2.0678 -1.6003
-1.8291 -1.1190 -4.7104
-10.0883 -15.8440 7.6812
Ag Pb Tm
4 8 6
direct
0.6666 0.6667 0.1681 Ag
0.3334 0.3333 0.8218 Ag
0.3332 0.3334 0.1671 Ag
0.3334 0.3333 0.5033 Ag
0.6667 0.6666 0.6706 Pb
0.3333 0.3333 0.9879 Pb
0.3333 0.3333 0.3436 Pb
0.6667 0.6666 0.3150 Pb
0.3334 0.3333 0.6625 Pb
0.6667 0.6666 0.0215 Pb
0.6667 0.6666 0.4963 Pb
0.6667 0.6666 0.8413 Pb
0.0000 0.0000 0.4161 Tm
0.0001 0.0000 0.7524 Tm
0.0000 0.0000 0.0899 Tm
0.0000 0.0000 0.9175 Tm
0.0000 0.0000 0.2444 Tm
0.0001 0.0000 0.5807 Tm

=====

# 2
Tm3Ag3Pb4, relaxed, DFT PBE-GGA; DOS(E_F) = 0.758 states/eV per atom; E = -3.866 eV per atom; symmetry = I-43d, No. 220; V = 25.659 A^3/atom; total magnetization = 0.000 Bohr magnetons per cell
1.0
8.2361 0.0000 -2.9119
-4.1180 7.1327 -2.9119
0.0000 0.0000 8.7357
Ag Tm Pb
6 6 8
direct
0.7500 0.1250 0.8750 Ag
0.8750 0.6250 0.7500 Ag
0.1250 0.7500 0.3750 Ag
0.2500 0.3750 0.6250 Ag
0.6250 0.8750 0.2500 Ag
0.3750 0.2500 0.1250 Ag
0.7500 0.6250 0.3750 Tm
0.1250 0.3750 0.2500 Tm
0.2500 0.8750 0.1250 Tm
0.6250 0.7500 0.8750 Tm
0.3750 0.1250 0.7500 Tm
0.8750 0.2500 0.6250 Tm
0.6909 0.1909 0.1909 Pb
0.3091 0.5000 0.0000 Pb
0.0000 0.0000 0.3091 Pb
0.5000 0.8091 0.5000 Pb
0.1909 0.6909 0.6909 Pb
0.8091 0.5000 0.0000 Pb
0.5000 0.3091 0.5000 Pb
0.0000 0.0000 0.8091 Pb

=====

# 3
Tm4Ag2Pb, relaxed, DFT PBE-GGA; DOS(E_F) = 0.808 states/eV per atom; E = -4.088 eV per atom; symmetry = R-3m, No. 166; V = 26.442 A^3/atom; total magnetization = 0.000 Bohr magnetons per cell
1.0
-0.8903 -4.9922 -0.7331
3.2987 -3.4821 1.8015
-3.3319 -3.1165 7.3634
Tm Pb Ag
4 1 2
direct
0.3880 0.3880 0.8360 Tm
0.1321 0.1321 0.6036 Tm
0.8679 0.8679 0.3964 Tm
0.6120 0.6120 0.1640 Tm
0.0000 0.0000 0.0000 Pb
0.7469 0.7469 0.7593 Ag
0.2531 0.2531 0.2407 Ag

=====

# 4
Tm2AgPb3, relaxed, DFT PBE-GGA; DOS(E_F) = 0.615 states/eV per atom; E = -4.049 eV per atom; symmetry = Cmc2_1, No. 36; V = 26.844 A^3/atom; total magnetization = 0.000 Bohr magnetons per cell
1.0
6.4109 0.0000 0.0000
0.0000 8.4339 -1.2569
0.0000 -5.2276 6.7367
Pb Ag Tm
6 2 4
direct
0.5764 0.4346 0.1361 Pb
0.0764 0.5654 0.8639 Pb
0.8264 0.9996 0.9996 Pb
0.5764 0.1361 0.4346 Pb
0.3264 0.0004 0.0004 Pb
0.0764 0.8639 0.5654 Pb
0.3262 0.5004 0.5004 Ag
0.8262 0.4996 0.4996 Ag
0.5763 0.6197 0.9287 Tm
0.0763 0.0713 0.3803 Tm
0.5763 0.9287 0.6197 Tm
0.0763 0.3803 0.0713 Tm

=====

# 5
Tm5AgPb4, relaxed, DFT PBE-GGA; DOS(E_F) = 0.890 states/eV per atom; E = -4.243 eV per atom; symmetry = I4, No. 79; V = 28.929 A^3/atom; total magnetization = 0.000 Bohr magnetons per cell
1.0
-0.4326 5.6419 2.5955
-5.4988 0.6924 5.0441
4.0664 0.8789 6.2331
Tm Pb Ag
5 4 1
direct
0.0636 0.6082 0.2069 Tm
0.6325 0.0000 0.0000 Tm
0.2705 0.7931 0.6082 Tm
0.6718 0.2069 0.3918 Tm
0.8787 0.3918 0.7931 Tm
0.1794 0.1892 0.3843 Pb
0.5637 0.6157 0.1892 Pb
0.7529 0.8108 0.6157 Pb
0.3686 0.3843 0.8108 Pb
0.1286 0.0000 0.0000 Ag

=====

# 6
Tm8AgPb5, relaxed, DFT PBE-GGA; DOS(E_F) = 0.641 states/eV per atom; E = -4.479 eV per atom; symmetry = I-4, No. 82; V = 28.087 A^3/atom; total magnetization = 0.000 Bohr magnetons per cell
1.0
7.5687 0.0000 -2.5732
-3.7902 6.4957 -2.7104
0.0117 0.0000 7.9941
Tm Pb Ag
8 5 1
direct
0.1253 0.7533 0.5221 Tm
0.9861 0.1180 0.7323 Tm
0.6142 0.8820 0.8681 Tm
0.6279 0.3968 0.8747 Tm
0.1319 0.7461 0.0139 Tm
0.2677 0.2539 0.3858 Tm
0.4779 0.6032 0.2312 Tm
0.7688 0.2467 0.3721 Tm
0.8744 0.8735 0.2480 Pb
0.9991 0.3736 0.1256 Pb
0.7520 0.6264 0.6255 Pb
0.5000 0.0000 0.5000 Pb
0.3745 0.1265 0.0009 Pb
0.2500 0.5000 0.7500 Ag

=====

# 7
Tm5Ag2Pb, relaxed, DFT PBE-GGA; DOS(E_F) = 1.171 states/eV per atom; E = -4.266 eV per atom; symmetry = I4/mcm, No. 140; V = 26.314 A^3/atom; total magnetization = 0.000 Bohr magnetons per cell
1.0
7.9706 0.0000 0.0000
0.0000 7.9706 0.0000
-3.9853 -3.9853 6.6270
Pb Tm Ag
2 10 4
direct
0.7500 0.7500 0.5000 Pb
0.2500 0.2500 0.5000 Pb
0.0061 0.5061 0.7040 Tm
0.0000 0.0000 0.0000 Tm
0.9939 0.4939 0.2960 Tm
0.4939 0.3021 0.2960 Tm
0.8021 0.9939 0.2960 Tm
0.1979 0.0061 0.7040 Tm
0.3021 0.8021 0.2960 Tm
0.5061 0.6979 0.7040 Tm
0.6979 0.1979 0.7040 Tm
0.5000 0.5000 0.0000 Tm
0.8651 0.6349 0.0000 Ag
0.3651 0.8651 0.0000 Ag
0.1349 0.3651 0.0000 Ag
0.6349 0.1349 0.0000 Ag

=====

# 8
TmAgPb, relaxed, DFT PBE-GGA; DOS(E_F) = 0.147 states/eV per atom; E = -4.007 eV per atom; symmetry = P-62m, No. 189; V = 24.389 A^3/atom; total magnetization = 0.000 Bohr magnetons per cell
1.0
-2.7857 -6.5070 2.4013
5.6153 0.0686 -4.9326
2.9942 -0.0241 3.4083
Pb Tm Ag
3 3 3
direct
0.3333 0.6667 0.0000 Pb
0.0000 0.0000 0.5000 Pb
0.6667 0.3333 0.0000 Pb
0.0000 0.5693 0.5000 Tm
0.4307 0.4307 0.5000 Tm
0.5693 0.0000 0.5000 Tm
0.2462 0.0000 0.0000 Ag
0.7538 0.7538 0.0000 Ag
0.0000 0.2462 0.0000 Ag

=====

# 9
TmAgPb, relaxed, DFT PBE-GGA; DOS(E_F) = 0.669 states/eV per atom; E = -3.950 eV per atom; symmetry = P3m1, No. 156; V = 24.260 A^3/atom; total magnetization = 0.000 Bohr magnetons per cell
1.0
3.5035 0.0000 0.0000
0.0000 4.8977 0.0000
0.0000 -2.4488 4.2415
Ag Tm Pb
1 1 1
direct
0.1952 0.3333 0.6667 Ag
0.6675 0.6667 0.3333 Tm
0.1373 0.0000 0.0000 Pb

=====

# 10
Tm3AgPb3, relaxed, DFT PBE-GGA; DOS(E_F) = 0.524 states/eV per atom; E = -4.248 eV per atom; symmetry = C2/m, No. 12; V = 26.896 A^3/atom; total magnetization = 0.000 Bohr magnetons per cell
1.0
4.5099 0.0000 0.6794
2.1882 5.7728 0.7829
0.1164 0.7148 14.5368
Pb Tm Ag
6 6 2
direct
0.1370 0.7987 0.9273 Pb
0.8630 0.2013 0.0727 Pb
0.8579 0.7310 0.5533 Pb
0.9951 0.2396 0.7703 Pb
0.1421 0.2690 0.4467 Pb
0.0049 0.7604 0.2297 Pb
0.4076 0.2653 0.9194 Tm
0.2789 0.2177 0.2244 Tm
0.5334 0.3188 0.6144 Tm
0.4666 0.6812 0.3856 Tm
0.5924 0.7347 0.0806 Tm
0.7211 0.7823 0.7756 Tm
0.7812 0.0638 0.3739 Ag
0.2188 0.9362 0.6261 Ag

=====

# 11
Tm8Ag2Pb, relaxed, DFT PBE-GGA; DOS(E_F) = 1.048 states/eV per atom; E = -4.295 eV per atom; symmetry = C2/m, No. 12; V = 27.187 A^3/atom; total magnetization = 0.000 Bohr magnetons per cell
1.0
4.8544 0.0000 -1.5675
-1.2109 7.1234 -3.7500
0.0666 0.2063 8.5068
Tm Ag Pb
8 2 1
direct
0.6869 0.9661 0.3737 Tm
0.0621 0.7277 0.1243 Tm
0.1547 0.2155 0.3095 Tm
0.3986 0.5325 0.7973 Tm
0.6014 0.4675 0.2027 Tm
0.9379 0.2723 0.8757 Tm
0.8453 0.7845 0.6905 Tm
0.3131 0.0339 0.6263 Tm
0.2114 0.6201 0.4229 Ag
0.7886 0.3799 0.5771 Ag
0.5000 0.0000 0.0000 Pb

=====

# 12
TmAgPb3, relaxed, DFT PBE-GGA; DOS(E_F) = 0.397 states/eV per atom; E = -3.714 eV per atom; symmetry = Pm, No. 6; V = 28.495 A^3/atom; total magnetization = 0.000 Bohr magnetons per cell
1.0
-0.7500 -3.4482 -0.5254
0.6762 -1.3836 8.1228
-3.9598 4.3689 1.0744
Pb Ag Tm
3 1 1
direct
0.4903 0.3382 0.8208 Pb
0.9913 0.6453 0.3214 Pb
0.4906 0.9517 0.8208 Pb
0.9917 0.6448 0.8216 Ag
0.4899 0.1449 0.3207 Tm

=====

# 13
Tm12AgPb6, relaxed, DFT PBE-GGA; DOS(E_F) = 0.925 states/eV per atom; E = -4.274 eV per atom; symmetry = R-3, No. 148; V = 32.084 A^3/atom; total magnetization = 0.000 Bohr magnetons per cell
1.0
8.6327 -0.1054 -0.1262
-1.4129 8.5170 -0.1262
-1.4129 -1.6461 8.3573
Tm Ag Pb
12 1 6
direct
0.3207 0.0593 0.9803 Tm
0.0197 0.6793 0.9407 Tm
0.5873 0.4552 0.7975 Tm
0.4552 0.7975 0.5873 Tm
0.0593 0.9803 0.3207 Tm
0.6793 0.9407 0.0197 Tm
0.5448 0.2025 0.4127 Tm
0.9803 0.3207 0.0593 Tm
0.4127 0.5448 0.2025 Tm
0.9407 0.0197 0.6793 Tm
0.7975 0.5873 0.4552 Tm
0.2025 0.4127 0.5448 Tm
0.0000 0.0000 0.0000 Ag
0.3206 0.1187 0.6425 Pb
0.1187 0.6425 0.3206 Pb
0.6425 0.3206 0.1187 Pb
0.6794 0.8813 0.3575 Pb
0.8813 0.3575 0.6794 Pb
0.3575 0.6794 0.8813 Pb

=====

# 14
Tm4Ag5Pb, relaxed, DFT PBE-GGA; DOS(E_F) = 0.544 states/eV per atom; E = -3.866 eV per atom; symmetry = P4/mmm, No. 123; V = 23.194 A^3/atom; total magnetization = 0.000 Bohr magnetons per cell
1.0
-1.7212 0.9986 3.0368
-2.3434 -2.7401 -0.4272
10.5376 -10.4802 9.4185
Tm Ag Pb
4 5 1
direct
0.0000 0.0000 0.1973 Tm
0.0000 0.0000 0.3984 Tm
0.0000 0.0000 0.6016 Tm
0.0000 0.0000 0.8027 Tm
0.5000 0.5000 0.8939 Ag
0.5000 0.5000 0.7040 Ag
0.5000 0.5000 0.2960 Ag
0.5000 0.5000 0.5000 Ag
0.5000 0.5000 0.1061 Ag
0.0000 0.0000 0.0000 Pb

=====

# 15
TmAg3Pb, relaxed, DFT PBE-GGA; DOS(E_F) = 0.415 states/eV per atom; E = -3.358 eV per atom; symmetry = Cmmm, No. 65; V = 23.125 A^3/atom; total magnetization = 0.000 Bohr magnetons per cell
1.0
3.4268 0.0000 0.0000
0.0000 4.6495 0.0000
0.0000 -2.3247 14.5145
Pb Tm Ag
2 2 6
direct
0.0000 0.3737 0.7474 Pb
0.0000 0.6263 0.2526 Pb
0.5000 0.1804 0.3608 Tm
0.5000 0.8196 0.6392 Tm
0.0000 0.7264 0.4528 Ag
0.5000 0.4543 0.9086 Ag
0.0000 0.0493 0.0985 Ag
0.0000 0.9507 0.9015 Ag
0.0000 0.2736 0.5472 Ag
0.5000 0.5457 0.0914 Ag

=====

# 16
TmAgPb, relaxed, DFT PBE-GGA; DOS(E_F) = 0.935 states/eV per atom; E = -3.521 eV per atom; symmetry = I4mm, No. 107; V = 29.074 A^3/atom; total magnetization = 0.001 Bohr magnetons per cell
1.0
3.3303 0.0000 0.0000
0.0000 3.3303 0.0000
-1.6651 -1.6651 7.8645
Tm Ag Pb
1 1 1
direct
0.7576 0.7576 0.5152 Tm
0.1372 0.1372 0.2743 Ag
0.9552 0.9552 0.9105 Pb

=====

# 17
TmZrAgPb, relaxed, DFT PBE-GGA; DOS(E_F) = 0.850 states/eV per atom; E = -5.067 eV per atom; symmetry = F-43m, No. 216; V = 23.352 A^3/atom; total magnetization = 0.000 Bohr magnetons per cell
1.0
-2.7335 -0.3429 -4.2834
0.0593 -4.3047 -2.7209
-4.1322 -2.9731 -0.1527
Ag Zr Pb Tm
1 1 1 1
direct
0.2500 0.2500 0.2500 Ag
0.5000 0.5000 0.5000 Zr
0.7500 0.7500 0.7500 Pb
0.0000 0.0000 0.0000 Tm

=====

# 18
UAg4Pb, relaxed, DFT PBE-GGA; DOS(E_F) = 2.088 states/eV per atom; E = -4.181 eV per atom; symmetry = F-43m, No. 216; V = 21.821 A^3/atom; total magnetization = 3.337 Bohr magnetons per cell
1.0
-3.0186 4.6668 -1.2626
-3.0864 2.5770 4.0396
1.6217 5.0763 2.0215
U Ag Pb
1 4 1
direct
0.2500 0.2500 0.2500 U
0.1260 0.6247 0.6247 Ag
0.6247 0.6247 0.1260 Ag
0.6247 0.6247 0.6247 Ag
0.6247 0.1260 0.6247 Ag
0.0000 0.0000 0.0000 Pb

=====

# 19
UAgPb, relaxed, DFT PBE-GGA; DOS(E_F) = 1.437 states/eV per atom; E = -5.711 eV per atom; symmetry = Cmcm, No. 63; V = 23.447 A^3/atom; total magnetization = 4.440 Bohr magnetons per cell
1.0
3.2244 0.0000 0.0000
0.0000 5.1101 0.0000
-1.6122 0.0000 8.5382
U Pb Ag
2 2 2
direct
0.7545 0.2500 0.5090 U
0.2455 0.7500 0.4910 U
0.4285 0.2500 0.8569 Pb
0.5715 0.7500 0.1431 Pb
0.0961 0.2500 0.1921 Ag
0.9039 0.7500 0.8079 Ag

=====

# 20
V2AgPb2, relaxed, DFT PBE-GGA; DOS(E_F) = 0.970 states/eV per atom; energy above the most stable polymorph in this dataset = 0.088 eV per atom; symmetry = P4/mbm, No. 127; V = 20.616 A^3/atom; total magnetization = 1.696 Bohr magnetons per cell
1.0
-5.3548 -1.1411 6.0230
1.5811 -7.9838 -0.1069
2.2643 0.4204 2.0927
V Ag Pb
4 2 4
direct
0.3983 0.1017 0.5000 V
0.1017 0.6017 0.5000 V
0.6017 0.8983 0.5000 V
0.8983 0.3983 0.5000 V
0.0000 0.0000 0.0000 Ag
0.5000 0.5000 0.0000 Ag
0.8123 0.6877 0.0000 Pb
0.3123 0.8123 0.0000 Pb
0.1877 0.3123 0.0000 Pb
0.6877 0.1877 0.0000 Pb

=====

# 21
V2AgPb2, relaxed, DFT PBE-GGA; DOS(E_F) = 0.900 states/eV per atom; energy above the most stable polymorph in this dataset = 0.000 eV per atom; symmetry = I4/mmm, No. 139; V = 21.323 A^3/atom; total magnetization = 0.000 Bohr magnetons per cell
1.0
3.3819 0.0000 0.0000
0.0000 3.3819 0.0000
1.6910 1.6910 9.3217
V Pb Ag
2 2 1
direct
0.7500 0.2500 0.5000 V
0.2500 0.7500 0.5000 V
0.6143 0.6143 0.7714 Pb
0.3857 0.3857 0.2286 Pb
0.0000 0.0000 0.0000 Ag

=====

# 22
Ag4PbW, relaxed, DFT PBE-GGA; DOS(E_F) = 0.447 states/eV per atom; E = -3.920 eV per atom; symmetry = F-43m, No. 216; V = 20.114 A^3/atom; total magnetization = 3.632 Bohr magnetons per cell
1.0
-3.7998 2.6533 3.0481
-1.4865 5.1798 -1.3147
-5.0386 0.9918 -2.0972
W Ag Pb
1 4 1
direct
0.0000 0.0000 0.0000 W
0.8768 0.3744 0.3744 Ag
0.3744 0.3744 0.3744 Ag
0.3744 0.3744 0.8768 Ag
0.3744 0.8768 0.3744 Ag
0.7500 0.7500 0.7500 Pb

=====

# 23
Ag2PbW, relaxed, DFT PBE-GGA; DOS(E_F) = 0.718 states/eV per atom; energy above the most stable polymorph in this dataset = 0.150 eV per atom; symmetry = P2/m, No. 10; V = 19.440 A^3/atom; total magnetization = 0.000 Bohr magnetons per cell
1.0
-3.6989 1.9230 1.4700
0.3833 -1.2904 2.6526
3.5123 3.4366 4.3424
Ag Pb W
2 1 1
direct
0.0000 0.0234 0.9779 Ag
0.0000 0.4766 0.5221 Ag
0.5000 0.2500 0.2500 Pb
0.5000 0.7500 0.7500 W